[1]
Crystalline PrH6Rh at its relaxed geometry, computed with PBE.

Cell: 5.562 6.412 4.238 Å, 90.00 102.90 90.00°
Space group C2/m (No. 12)
One atom of each set of equivalent atoms:
Pr  0.000  0.000  0.000 x2
H  0.108  0.323  0.784 x8
H  0.217  0.000  0.571 x4
Rh  0.000  0.500  0.500 x2

**Size of the total moment**: 0.00 μB/cell
**Total DFT energy (no corrections)**: -69.994 eV for the cell shown
**Polymorph energy (0 for the lowest one)**: 58 kJ/mol of formula units



[2]
Crystalline TbSiAu at its relaxed geometry, computed with PBE.

Cell: 3.452 3.452 10.312 Å, 90.00 90.00 90.00°
Space group I4mm (No. 107)
One atom of each set of equivalent atoms:
Tb  0.000  0.000  0.000 x2
Si  0.000  0.000  0.310 x2
Au  0.000  0.000  0.687 x2

**Energy relative to the elements, uncorrected**: -380.1 meV per atom
**Size of the total moment**: 0.00 μB/cell
**Total DFT energy (no corrections)**: -28.942 eV for the cell shown



[3]
Crystalline MnBeRe2 at its relaxed geometry, computed with PBE.

Cell: 3.169 3.994 4.112 Å, 90.00 90.00 90.00°
Space group Pmmm (No. 47)
One atom of each set of equivalent atoms:
Mn  0.000  0.000  0.000 x1
Be  0.500  0.000  0.500 x1
Re  0.000  0.500  0.500 x1
Re  0.500  0.500  0.000 x1

**ΔE_f**: 0.128 eV per atom
**Size of the total moment**: 2.28 μB/cell
**Total DFT energy (no corrections)**: -37.279 eV for the cell shown



[4]
Crystalline CaBiIr4 at its relaxed geometry, computed with PBE.

Cell: 7.623 7.623 7.623 Å, 90.00 90.00 90.00°
Space group F-43m (No. 216)
One atom of each set of equivalent atoms:
Ca  0.000  0.000  0.000 x4
Bi  0.250  0.250  0.750 x4
Ir  0.125  0.125  0.375 x16

**ΔE_f**: -0.080 eV per atom
**Size of the total moment**: 0.00 μB/cell
**Total DFT energy (no corrections)**: -167.229 eV for the cell shown



[5]
Crystalline BaNaNb at its relaxed geometry, computed with PBE.

Cell: 4.698 6.111 7.687 Å, 90.00 106.55 90.00°
Space group Pm (No. 6)
One atom of each set of equivalent atoms:
Ba  0.000  0.000  0.000 x1
Ba  0.188  0.500  0.349 x1
Na  0.471  0.500  0.936 x1
Na  0.843  0.500  0.682 x1
Nb  0.336  0.000  0.600 x1
Nb  0.716  0.000  0.473 x1

**ΔE_f**: 0.652 eV per atom
**Size of the total moment**: 0.00 μB/cell
**Total DFT energy (no corrections)**: -22.713 eV for the cell shown
**Polymorph energy (0 for the lowest one)**: 91 kJ/mol of formula units



[6]
Crystalline Hf5ScOs6 at its relaxed geometry, computed with PBE.

Cell: 4.592 13.783 6.487 Å, 90.00 90.00 90.00°
Space group Cmmm (No. 65)
One atom of each set of equivalent atoms:
Hf  0.000  0.000  0.000 x2
Hf  0.000  0.334  0.000 x4
Hf  0.000  0.335  0.500 x4
Sc  0.000  0.000  0.500 x2
Os  0.000  0.168  0.250 x8
Os  0.000  0.500  0.248 x4

**ΔE_f**: -0.684 eV per atom
**Size of the total moment**: 0.00 μB/cell
**Total DFT energy (no corrections)**: -263.372 eV for the cell shown



[7]
Crystalline KBaBr2F at its relaxed geometry, computed with PBE.

Cell: 5.606 5.606 6.983 Å, 90.00 90.00 90.00°
Space group P4/mmm (No. 123)
One atom of each set of equivalent atoms:
K  0.000  0.000  0.000 x1
Ba  0.000  0.000  0.500 x1
Br  0.000  0.500  0.000 x2
F  0.500  0.500  0.500 x1

**Energy relative to the elements, uncorrected**: -1190.4 meV per atom
**Size of the total moment**: 0.00 μB/cell
**Total DFT energy (no corrections)**: -14.189 eV for the cell shown
**Polymorph energy (0 for the lowest one)**: 561 kJ/mol of formula units



[8]
Crystalline SrCa2BH at its relaxed geometry, computed with PBE.

Cell: 6.703 6.703 4.599 Å, 90.00 90.00 90.00°
Space group P4/mmm (No. 123)
One atom of each set of equivalent atoms:
Sr  0.000  0.000  0.000 x1
Ca  0.000  0.500  0.000 x2
B  0.000  0.000  0.500 x1
H  0.500  0.500  0.500 x1

**Size of the total moment**: 0.00 μB/cell
**Total DFT energy (no corrections)**: -7.782 eV for the cell shown



Look up the size of the total moment of the second one. 0.00 μB/cell



What is the formula in the first record? PrH6Rh



Number 1 is which compound? PrH6Rh